# MgSc

A geometry-optimized MgSc structure (GGA-PBEsol, Alexandria via LeMat-Bulk).

Output
Crystal system: monoclinic
ΔH_f (0 K) in eV per atom: 0.012
Density of states at the Fermi level in states/eV/cell: 5.4
Symmetry: C2/m, No. 12

a = 3.1628 Å, b = 5.5849 Å, c = 6.0989 Å
α = 116.56°, β = 105.03°, γ = 90.00°
With the nearest neighbours (Å) after each atom.
Positions (direct):
Sc  0.8755  0.5429  0.7511  5 Sc 3.16-3.19, 7 Mg 3.18-3.24
Sc  0.1245  0.4571  0.2489  5 Sc 3.16-3.19, 7 Mg 3.18-3.24
Mg  0.6278  0.9656  0.2555  5 Mg 3.15-3.21, 7 Sc 3.18-3.24
Mg  0.3722  0.0344  0.7445  5 Mg 3.15-3.21, 7 Sc 3.18-3.24